[1]
VASP calculation (PBE) on LiEr2Be4Pt3 after structural relaxation.

```
LiEr2Be4Pt3
1.0
-3.142 -0.038 -2.504
1.482 -3.267 -1.810
-4.696 -5.439 5.975
Be Er Pt Li
4 2 3 1
Cartesian
-0.830 -1.653 -2.157
-4.502 -3.414 2.477
-1.024 -3.678 1.341
0.000 0.000 0.000
-2.798 -5.733 3.598
-2.728 -1.359 0.220
0.127 -2.344 -0.124
-5.653 -4.747 3.942
-2.348 -2.720 2.987
-3.178 -4.372 0.831
```

Values from the calculation:
The energy relative to the elements comes out at -0.701 eV/atom.

***

[2]
VASP calculation (PBE) on LiErScBe after structural relaxation.

```
LiErScBe
1.0
4.805 0.000 0.000
2.402 4.161 0.000
2.402 1.387 3.923
Er Sc Be Li
1 1 1 1
Cartesian
7.207 4.161 2.942
2.402 1.387 0.981
0.000 0.000 0.000
4.805 2.774 1.962
```

Values from the calculation:
The energy relative to the elements comes out at 0.120 eV/atom.

***

[3]
VASP calculation (PBE) on LiTbErBe after structural relaxation.

```
LiTbErBe
1.0
-4.177 0.099 -2.690
-1.557 -4.108 -2.323
-4.052 -2.383 1.613
Tb Be Li Er
1 1 1 1
Cartesian
-7.339 -4.794 -2.550
-4.893 -3.196 -1.700
0.000 0.000 0.000
-2.446 -1.598 -0.850
```

Values from the calculation:
The energy relative to the elements comes out at 0.134 eV/atom.

***

[4]
VASP calculation (PBE) on ErLuBe after structural relaxation.

```
ErLuBe
1.0
3.394 0.000 0.000
0.000 3.394 0.000
-1.697 -1.697 5.917
Er Lu Be
1 1 1
Cartesian
0.000 0.000 0.344
0.000 0.000 3.570
1.697 1.697 2.003
```

Values from the calculation:
The energy relative to the elements comes out at 0.065 eV/atom.

***

[5]
VASP calculation (PBE) on Er2LuBe after structural relaxation.

```
Er2LuBe
1.0
3.368 0.000 0.000
1.684 2.917 0.000
1.684 0.972 11.242
Er Be Lu
2 1 1
Cartesian
5.052 2.917 2.862
1.684 0.972 8.380
0.000 0.000 0.000
3.368 1.945 5.621
```

Values from the calculation:
The relative energy among the computed polymorphs is 0.610 eV/atom. The energy relative to the elements comes out at 0.671 eV/atom.

***

[6]
VASP calculation (PBE) on ErLuBe4 after structural relaxation.

```
ErLuBe4
1.0
4.975 0.000 0.000
2.487 4.308 0.000
2.487 1.436 4.062
Be Er Lu
4 1 1
Cartesian
4.975 2.872 0.504
4.975 1.433 2.540
6.221 3.592 2.540
3.728 3.592 2.540
0.000 0.000 0.000
2.487 1.436 1.015
```

Values from the calculation:
The energy relative to the elements comes out at 0.053 eV/atom.

***

[7]
VASP calculation (PBE) on Er2LuBe after structural relaxation.

```
Er2LuBe
1.0
3.425 0.000 0.000
0.000 3.425 0.000
0.000 0.000 8.412
Be Er Lu
1 2 1
Cartesian
1.713 1.713 0.000
0.000 0.000 6.774
0.000 0.000 1.638
1.713 1.713 4.206
```

Values from the calculation:
The relative energy among the computed polymorphs is 0.000 eV/atom. The energy relative to the elements comes out at 0.060 eV/atom.

***

[8]
VASP calculation (PBE) on ErLuBeOs after structural relaxation.

```
ErLuBeOs
1.0
-3.757 -2.822 0.711
0.604 -4.345 1.827
-1.461 -0.942 4.423
Er Be Os Lu
1 1 1 1
Cartesian
-1.154 -2.027 1.740
0.000 0.000 0.000
-2.307 -4.054 3.481
-3.461 -6.082 5.221
```

Values from the calculation:
The energy relative to the elements comes out at -0.151 eV/atom.

***

[9]
VASP calculation (PBE) on ErLuBePd after structural relaxation.

```
ErLuBePd
1.0
-2.630 -2.880 -2.869
1.915 -4.097 -1.728
-1.557 -4.281 1.640
Er Be Pd Lu
1 1 1 1
Cartesian
-1.704 -8.443 -2.217
0.000 0.000 0.000
-1.136 -5.629 -1.478
-0.568 -2.814 -0.739
```

Values from the calculation:
The energy relative to the elements comes out at -0.407 eV/atom.

***

[10]
VASP calculation (PBE) on ErLuBePt after structural relaxation.

```
ErLuBePt
1.0
-1.435 0.314 4.601
1.133 -3.501 3.127
3.236 0.832 3.487
Lu Be Pt Er
1 1 1 1
Cartesian
1.467 -1.178 5.608
2.201 -1.766 8.412
0.734 -0.589 2.804
0.000 0.000 0.000
```

Values from the calculation:
The energy relative to the elements comes out at -0.608 eV/atom.

***

[11]
VASP calculation (PBE) on ErLuBeRh after structural relaxation.

```
ErLuBeRh
1.0
-0.785 1.404 -4.488
0.293 -3.149 -3.568
-3.949 -1.395 -2.278
Be Lu Er Rh
1 1 1 1
Cartesian
0.000 0.000 0.000
-3.331 -2.355 -7.750
-1.110 -0.785 -2.583
-2.221 -1.570 -5.167
```

Values from the calculation:
The energy relative to the elements comes out at -0.438 eV/atom.

***

[12]
VASP calculation (PBE) on ErLuBeRu after structural relaxation.

```
ErLuBeRu
1.0
4.751 0.000 0.000
2.376 4.115 0.000
2.376 1.372 3.879
Lu Be Ru Er
1 1 1 1
Cartesian
0.000 0.000 0.000
2.376 1.372 0.970
7.127 4.115 2.909
4.751 2.743 1.940
```

Values from the calculation:
The energy relative to the elements comes out at -0.217 eV/atom.

***

| no. | E_tot (eV/atom) | magnetization (μB per cell) |
| --- | --- | --- |
| 1 | -5.108 | 0.00 |
| 2 | -4.014 | 0.00 |
| 3 | -3.574 | 0.00 |
| 4 | -4.205 | 0.00 |
| 5 | -3.673 | 0.00 |
| 6 | -3.945 | 0.00 |
| 7 | -4.283 | 0.00 |
| 8 | -6.161 | 0.00 |
| 9 | -4.907 | 0.00 |
| 10 | -5.321 | 0.00 |
| 11 | -5.478 | 0.00 |
| 12 | -5.739 | 0.00 |